MgSiSnHS | PBE-GGA | optimized geometry

Cell lengths 6.4763, 5.1691, 6.0533 Å; angles 90.00, 92.80, 90.00 degrees
Closest atoms and distances in Å follow each position.
Sites, in units of the cell vectors:
Mg  0.0000  0.0000  0.0000  1 H 2.04
Mg  0.5000  0.5000  0.0000  1 H 2.04
Si  0.1614  0.0000  0.5736  1 H 1.54
Si  0.6614  0.5000  0.5736  1 H 1.54
Sn  0.0696  0.5000  0.5930  1 S 2.62, 3 Si 2.64-2.66
Sn  0.5696  0.0000  0.5930  1 S 2.62, 3 Si 2.64-2.66
H  0.1064  0.0000  0.3235  1 Si 1.54
H  0.6064  0.5000  0.3235  1 Si 1.54
S  0.1154  0.5000  0.0253  3 Mg 2.50-2.69, 1 Sn 2.62
S  0.6154  0.0000  0.0253  3 Mg 2.50-2.69, 1 Sn 2.62

## Properties
The total magnetization comes out at 0.00 μB per formula unit. For the energy above the lowest structure with this stoichiometry, the calculation gives 0 meV/atom. For the total energy, the calculation gives -19.794 eV per formula unit.